BaNi2Os: relaxed, PBE.

Results
**V**: 21.662 Å³/atom
**Total moment**: 0.000 Bohr magnetons per cell
**N(E_F)**: 1.367 states/eV/atom
**Polymorph energy (0 for the lowest one)**: 2.63 eV per formula unit
**Symmetry**: Immm, No. 71
**Energy of formation**: 0.81 eV per atom

POSCAR file:
```
BaNi2Os
1.0
5.060 0.020 0.004
0.022 5.060 -0.004
-1.755 -3.327 3.385
Ba Ni Os
1 2 1
Direct
0.750 0.250 0.500
0.085 0.085 0.000
0.415 0.415 0.000
0.250 0.750 0.500
```



BaNiOs2: relaxed, PBE.

Results
**V**: 23.380 Å³/atom
**Total moment**: 0.001 Bohr magnetons per cell
**N(E_F)**: 1.224 states/eV/atom
**Polymorph energy (0 for the lowest one)**: 1.81 eV per formula unit
**Symmetry**: P2/m, No. 10
**Energy of formation**: 0.67 eV per atom

POSCAR file:
```
BaNiOs2
1.0
-2.398 1.971 -2.987
2.906 -1.031 -3.014
-1.528 -4.637 -1.834
Ni Os Ba
1 2 1
Direct
0.500 0.750 0.750
0.000 0.973 0.853
0.000 0.527 0.647
0.500 0.250 0.250
```



BaNiOs2: relaxed, PBE.

Results
**V**: 17.898 Å³/atom
**Total moment**: 0.001 Bohr magnetons per cell
**N(E_F)**: 1.314 states/eV/atom
**Polymorph energy (0 for the lowest one)**: 3.73 eV per formula unit
**Symmetry**: R-3m, No. 166
**Energy of formation**: 1.15 eV per atom

POSCAR file:
```
BaNiOs2
1.0
10.022 0.012 0.007
9.601 2.873 0.007
9.601 1.412 2.503
Ba Os Ni
1 2 1
Direct
0.250 0.250 0.250
0.018 0.018 0.018
0.482 0.482 0.482
0.750 0.750 0.750
```



BaNiOs2: relaxed, PBE.

Results
**V**: 18.220 Å³/atom
**Total moment**: 0.000 Bohr magnetons per cell
**N(E_F)**: 1.355 states/eV/atom
**Polymorph energy (0 for the lowest one)**: 4.41 eV per formula unit
**Symmetry**: F-43m, No. 216
**Energy of formation**: 1.32 eV per atom

POSCAR file:
```
BaNiOs2
1.0
0.000 3.315 3.315
3.315 0.000 3.315
3.315 3.315 0.000
Ba Ni Os
1 1 2
Direct
0.500 0.500 0.500
0.250 0.250 0.250
0.000 0.000 0.000
0.750 0.750 0.750
```



BaNiOs2: relaxed, PBE.

Results
**V**: 18.992 Å³/atom
**Total moment**: 0.001 Bohr magnetons per cell
**N(E_F)**: 1.059 states/eV/atom
**Polymorph energy (0 for the lowest one)**: 4.78 eV per formula unit
**Symmetry**: Cmmm, No. 65
**Energy of formation**: 1.41 eV per atom

POSCAR file:
```
BaNiOs2
1.0
-0.580 -4.892 -2.937
3.249 0.776 4.662
-2.207 -0.735 1.660
Ni Ba Os
1 1 2
Direct
0.000 0.500 0.500
0.500 0.000 0.500
0.500 0.500 0.000
0.000 0.000 0.000
```



Ba2NiOs: relaxed, PBE.

Results
**V**: 27.930 Å³/atom
**Total moment**: 0.334 Bohr magnetons per cell
**N(E_F)**: 1.074 states/eV/atom
**Polymorph energy (0 for the lowest one)**: 3.06 eV per formula unit
**Symmetry**: R-3m, No. 166
**Energy of formation**: 1.09 eV per atom

POSCAR file:
```
Ba2NiOs
1.0
-2.663 7.873 -4.314
-5.953 6.554 -3.049
-3.726 8.556 -0.769
Ba Os Ni
2 1 1
Direct
0.999 0.999 0.999
0.501 0.501 0.501
0.750 0.750 0.750
0.250 0.250 0.250
```



Ba2NiOs: relaxed, PBE.

Results
**V**: 27.871 Å³/atom
**Total moment**: 2.532 Bohr magnetons per cell
**N(E_F)**: 1.788 states/eV/atom
**Polymorph energy (0 for the lowest one)**: 3.04 eV per formula unit
**Symmetry**: I-42d, No. 122
**Energy of formation**: 1.08 eV per atom

POSCAR file:
```
Ba2NiOs
1.0
-1.214 1.529 8.110
-7.031 -4.485 -0.207
-2.462 -4.115 4.698
Ni Ba Os
2 4 2
Direct
0.250 0.750 0.500
0.500 0.500 0.000
0.614 0.125 0.250
0.875 0.864 0.750
0.136 0.625 0.250
0.375 0.386 0.750
0.750 0.250 0.500
0.000 0.000 0.000
```



BaNi2Os: relaxed, PBE.

Results
**V**: 17.271 Å³/atom
**Total moment**: 0.492 Bohr magnetons per cell
**N(E_F)**: 1.400 states/eV/atom
**Polymorph energy (0 for the lowest one)**: 2.98 eV per formula unit
**Symmetry**: P4/mmm, No. 123
**Energy of formation**: 0.90 eV per atom

POSCAR file:
```
BaNi2Os
1.0
2.896 0.000 0.000
0.000 4.884 0.000
0.000 0.000 4.884
Ba Os Ni
1 1 2
Direct
0.500 0.000 0.500
0.500 0.500 0.000
0.000 0.500 0.500
0.000 0.000 0.000
```



Ba2NiOs: relaxed, PBE.

Results
**V**: 25.314 Å³/atom
**Total moment**: 1.830 Bohr magnetons per cell
**N(E_F)**: 1.313 states/eV/atom
**Polymorph energy (0 for the lowest one)**: 2.73 eV per formula unit
**Symmetry**: F-43m, No. 216
**Energy of formation**: 1.01 eV per atom

POSCAR file:
```
Ba2NiOs
1.0
-0.447 4.092 3.229
1.176 -0.528 5.070
4.290 2.280 1.942
Ni Ba Os
1 2 1
Direct
0.500 0.500 0.500
0.250 0.250 0.250
0.000 0.000 0.000
0.750 0.750 0.750
```



Ba2NiOs: relaxed, PBE.

Results
**V**: 30.097 Å³/atom
**Total moment**: 0.000 Bohr magnetons per cell
**N(E_F)**: 0.533 states/eV/atom
**Polymorph energy (0 for the lowest one)**: 0.00 eV per formula unit
**Symmetry**: Cm, No. 8
**Energy of formation**: 0.32 eV per atom

POSCAR file:
```
Ba2NiOs
1.0
6.100 0.022 0.034
4.089 4.527 0.034
-0.020 -0.009 4.373
Os Ba Ni
1 2 1
Direct
0.659 0.659 0.874
0.272 0.272 0.376
0.980 0.980 0.876
0.588 0.588 0.374
```



BaNi2Os: relaxed, PBE.

Results
**V**: 24.363 Å³/atom
**Total moment**: 0.000 Bohr magnetons per cell
**N(E_F)**: 1.302 states/eV/atom
**Polymorph energy (0 for the lowest one)**: 1.61 eV per formula unit
**Symmetry**: I4_1/amd, No. 141
**Energy of formation**: 0.55 eV per atom

POSCAR file:
```
BaNi2Os
1.0
-1.091 -3.086 -3.789
4.478 -2.185 0.490
-1.343 -7.732 3.374
Os Ni Ba
2 4 2
Direct
0.750 0.250 0.500
0.000 0.000 0.000
0.375 0.125 0.750
0.875 0.125 0.750
0.875 0.625 0.250
0.875 0.125 0.250
0.250 0.750 0.500
0.500 0.500 0.000
```



BaNi2Os: relaxed, PBE.

Results
**V**: 21.499 Å³/atom
**Total moment**: 0.740 Bohr magnetons per cell
**N(E_F)**: 1.389 states/eV/atom
**Polymorph energy (0 for the lowest one)**: 0.00 eV per formula unit
**Symmetry**: R-3m, No. 166
**Energy of formation**: 0.15 eV per atom

POSCAR file:
```
BaNi2Os
1.0
4.220 0.009 -0.002
2.102 3.659 -0.002
2.111 1.224 5.576
Ba Os Ni
1 1 2
Direct
0.750 0.750 0.750
0.250 0.250 0.250
0.569 0.569 0.294
0.931 0.931 0.206
```